# IrRuCl2 PBE optimized geometry
data_IrRuCl2
_chemical_formula_sum 'Ir1 Ru1 Cl2'
_cell_length_a 2.889
_cell_length_b 3.428
_cell_length_c 8.993
_cell_angle_alpha 90.00
_cell_angle_beta 90.00
_cell_angle_gamma 90.00
_space_group_name_H-M_alt 'P m m 2'
_space_group_IT_number 25
_space_group_name_Hall 'P 2 -2'
loop_
_atom_site_label
_atom_site_type_symbol
_atom_site_fract_x
_atom_site_fract_y
_atom_site_fract_z
Ir1 Ir 0.000 0.000 0.000
Ru1 Ru 0.500 0.500 0.866
Cl1 Cl 0.000 0.000 0.249
Cl2 Cl 0.500 0.500 0.619
# uncorrected formation energy: 142 meV per atom


# CdGaHg2 PBE optimized geometry
data_CdGaHg2
_chemical_formula_sum 'Cd4 Ga4 Hg8'
_cell_length_a 8.021
_cell_length_b 8.021
_cell_length_c 6.172
_cell_angle_alpha 90.00
_cell_angle_beta 90.00
_cell_angle_gamma 90.00
_space_group_name_H-M_alt 'I -4 2 d'
_space_group_IT_number 122
_space_group_name_Hall 'I -4 2bw'
loop_
_atom_site_label
_atom_site_type_symbol
_atom_site_fract_x
_atom_site_fract_y
_atom_site_fract_z
Cd1 Cd 0.000 0.000 0.000
Ga1 Ga 0.000 0.000 0.500
Hg1 Hg 0.234 0.250 0.625
# formation energy from the elements: 7.0 kJ per mole of atoms


# Li2NdPuSe4 PBE optimized geometry
data_Li2NdPuSe4
_chemical_formula_sum 'Li2 Nd1 Pu1 Se4'
_cell_length_a 6.919
_cell_length_b 4.178
_cell_length_c 7.228
_cell_angle_alpha 90.00
_cell_angle_beta 110.48
_cell_angle_gamma 90.00
_space_group_name_H-M_alt 'P 1 2/m 1'
_space_group_IT_number 10
_space_group_name_Hall '-P 2y'
loop_
_atom_site_label
_atom_site_type_symbol
_atom_site_fract_x
_atom_site_fract_y
_atom_site_fract_z
Li1 Li 0.000 0.000 0.000
Li2 Li 0.000 0.500 0.500
Nd1 Nd 0.500 0.000 0.500
Pu1 Pu 0.500 0.500 0.000
Se1 Se 0.240 0.500 0.243
Se2 Se 0.245 0.000 0.754
# uncorrected formation energy: -1517 meV per atom


# Er2Ga5Ni3 PBE optimized geometry
data_Er2Ga5Ni3
_chemical_formula_sum 'Er8 Ga20 Ni12'
_cell_length_a 9.773
_cell_length_b 12.329
_cell_length_c 5.480
_cell_angle_alpha 90.00
_cell_angle_beta 90.00
_cell_angle_gamma 90.00
_space_group_name_H-M_alt 'I b a m'
_space_group_IT_number 72
_space_group_name_Hall '-I 2 2c'
loop_
_atom_site_label
_atom_site_type_symbol
_atom_site_fract_x
_atom_site_fract_y
_atom_site_fract_z
Er1 Er 0.222 0.146 0.000
Ga1 Ga 0.000 0.000 0.250
Ga2 Ga 0.000 0.293 0.250
Ga3 Ga 0.176 0.413 0.000
Ni1 Ni 0.000 0.500 0.250
Ni2 Ni 0.091 0.146 0.500
# formation energy from the elements: -58.3 kJ per mole of atoms


# Ta3IrRu PBE optimized geometry
data_Ta3IrRu
_chemical_formula_sum 'Ta3 Ir1 Ru1'
_cell_length_a 4.701
_cell_length_b 4.701
_cell_length_c 4.701
_cell_angle_alpha 90.00
_cell_angle_beta 90.00
_cell_angle_gamma 90.00
_space_group_name_H-M_alt 'P m -3 m'
_space_group_IT_number 221
_space_group_name_Hall '-P 4 2 3'
loop_
_atom_site_label
_atom_site_type_symbol
_atom_site_fract_x
_atom_site_fract_y
_atom_site_fract_z
Ta1 Ta 0.000 0.000 0.500
Ir1 Ir 0.500 0.500 0.500
Ru1 Ru 0.000 0.000 0.000
# formation energy from the elements: 117.1 kJ per mole of atoms


# Lu3Cu PBE optimized geometry
data_Lu3Cu
_chemical_formula_sum 'Lu3 Cu1'
_cell_length_a 3.397
_cell_length_b 3.525
_cell_length_c 8.901
_cell_angle_alpha 90.00
_cell_angle_beta 90.00
_cell_angle_gamma 90.00
_space_group_name_H-M_alt 'P m m 2'
_space_group_IT_number 25
_space_group_name_Hall 'P 2 -2'
loop_
_atom_site_label
_atom_site_type_symbol
_atom_site_fract_x
_atom_site_fract_y
_atom_site_fract_z
Lu1 Lu 0.000 0.000 0.000
Lu2 Lu 0.000 0.500 0.334
Lu3 Lu 0.500 0.500 0.726
Cu1 Cu 0.500 0.000 0.478
# formation energy from the elements: 8.4 kJ per mole of atoms


# ScS PBE optimized geometry
data_ScS
_chemical_formula_sum 'Sc8 S8'
_cell_length_a 10.062
_cell_length_b 10.062
_cell_length_c 3.888
_cell_angle_alpha 90.00
_cell_angle_beta 90.00
_cell_angle_gamma 90.00
_space_group_name_H-M_alt 'I 4/m'
_space_group_IT_number 87
_space_group_name_Hall '-I 4'
loop_
_atom_site_label
_atom_site_type_symbol
_atom_site_fract_x
_atom_site_fract_y
_atom_site_fract_z
Sc1 Sc 0.121 0.333 0.000
S1 S 0.106 0.769 0.000
# uncorrected formation energy: -1554 meV per atom


# Cs2HgI6O PBE optimized geometry
data_Cs2HgI6O
_chemical_formula_sum 'Cs4 Hg2 I12 O2'
_cell_length_a 8.197
_cell_length_b 8.197
_cell_length_c 11.794
_cell_angle_alpha 90.00
_cell_angle_beta 90.00
_cell_angle_gamma 90.00
_space_group_name_H-M_alt 'I 4/m m m'
_space_group_IT_number 139
_space_group_name_Hall '-I 4 2'
loop_
_atom_site_label
_atom_site_type_symbol
_atom_site_fract_x
_atom_site_fract_y
_atom_site_fract_z
Cs1 Cs 0.000 0.500 0.250
Hg1 Hg 0.000 0.000 0.000
I1 I 0.000 0.000 0.298
I2 I 0.244 0.244 0.000
O1 O 0.000 0.000 0.500
# uncorrected formation energy: -520 meV per atom


# KCrCl2 PBE optimized geometry
data_KCrCl2
_chemical_formula_sum 'K1 Cr1 Cl2'
_cell_length_a 5.133
_cell_length_b 5.133
_cell_length_c 3.529
_cell_angle_alpha 90.00
_cell_angle_beta 90.00
_cell_angle_gamma 90.00
_space_group_name_H-M_alt 'P 4/m m m'
_space_group_IT_number 123
_space_group_name_Hall '-P 4 2'
loop_
_atom_site_label
_atom_site_type_symbol
_atom_site_fract_x
_atom_site_fract_y
_atom_site_fract_z
K1 K 0.000 0.000 0.000
Cr1 Cr 0.500 0.500 0.000
Cl1 Cl 0.000 0.500 0.500
# uncorrected formation energy: -770 meV per atom


# Mg3W PBE optimized geometry
data_Mg3W
_chemical_formula_sum 'Mg6 W2'
_cell_length_a 4.836
_cell_length_b 5.913
_cell_length_c 5.332
_cell_angle_alpha 90.00
_cell_angle_beta 90.00
_cell_angle_gamma 90.00
_space_group_name_H-M_alt 'P m m n'
_space_group_IT_number 59
loop_
_space_group_symop_operation_xyz
'x,y,z'
'-x,-y,-z'
'-x+1/2,-y+1/2,z'
'x+1/2,y+1/2,-z'
'x+1/2,-y,-z'
'-x+1/2,y,z'
'-x,y+1/2,-z'
'x,-y+1/2,z'
loop_
_atom_site_label
_atom_site_type_symbol
_atom_site_fract_x
_atom_site_fract_y
_atom_site_fract_z
Mg1 Mg 0.250 0.002 0.163
Mg2 Mg 0.250 0.750 0.648
W1 W 0.250 0.250 0.652
# formation energy from the elements: 58.0 kJ per mole of atoms


# Li6AgAu PBE optimized geometry
data_Li6AgAu
_chemical_formula_sum 'Li6 Ag1 Au1'
_cell_length_a 5.797
_cell_length_b 5.797
_cell_length_c 3.881
_cell_angle_alpha 90.00
_cell_angle_beta 90.00
_cell_angle_gamma 90.00
_space_group_name_H-M_alt 'P 4/m m m'
_space_group_IT_number 123
_space_group_name_Hall '-P 4 2'
loop_
_atom_site_label
_atom_site_type_symbol
_atom_site_fract_x
_atom_site_fract_y
_atom_site_fract_z
Li1 Li 0.000 0.500 0.000
Li2 Li 0.244 0.244 0.500
Ag1 Ag 0.500 0.500 0.000
Au1 Au 0.000 0.000 0.000
# formation energy from the elements: -23.4 kJ per mole of atoms


# MnSnHgCl4 PBE optimized geometry
data_MnSnHgCl4
_chemical_formula_sum 'Mn4 Sn4 Hg4 Cl16'
_cell_length_a 13.362
_cell_length_b 9.255
_cell_length_c 8.493
_cell_angle_alpha 90.00
_cell_angle_beta 109.98
_cell_angle_gamma 90.00
_space_group_name_H-M_alt 'C 1 2/m 1'
_space_group_IT_number 12
_space_group_name_Hall '-C 2y'
loop_
_atom_site_label
_atom_site_type_symbol
_atom_site_fract_x
_atom_site_fract_y
_atom_site_fract_z
Mn1 Mn 0.151 0.000 0.301
Sn1 Sn 0.232 0.000 0.910
Hg1 Hg 0.031 0.500 0.807
Cl1 Cl 0.029 0.000 0.715
Cl2 Cl 0.179 0.188 0.126
Cl3 Cl 0.232 0.500 0.429
# uncorrected formation energy: -842 meV per atom


# Co2ReRu PBE optimized geometry
data_Co2ReRu
_chemical_formula_sum 'Co2 Re1 Ru1'
_cell_length_a 2.609
_cell_length_b 3.689
_cell_length_c 5.179
_cell_angle_alpha 90.00
_cell_angle_beta 90.00
_cell_angle_gamma 90.00
_space_group_name_H-M_alt 'P m m m'
_space_group_IT_number 47
_space_group_name_Hall '-P 2 2'
loop_
_atom_site_label
_atom_site_type_symbol
_atom_site_fract_x
_atom_site_fract_y
_atom_site_fract_z
Co1 Co 0.000 0.000 0.250
Re1 Re 0.500 0.500 0.000
Ru1 Ru 0.500 0.500 0.500
# formation energy from the elements: 10.8 kJ per mole of atoms


# TbCePt2 PBE optimized geometry
data_TbCePt2
_chemical_formula_sum 'Tb3 Ce3 Pt6'
_cell_length_a 4.0374
_cell_length_b 4.0374
_cell_length_c 20.9587
_cell_angle_alpha 90.00
_cell_angle_beta 90.00
_cell_angle_gamma 120.00
_space_group_name_H-M_alt 'R 3 m'
_space_group_IT_number 160
_space_group_name_Hall 'R 3 -2"'
loop_
_atom_site_label
_atom_site_type_symbol
_atom_site_fract_x
_atom_site_fract_y
_atom_site_fract_z
Tb1 Tb 0.0000 0.0000 0.0000
Ce1 Ce 0.0000 0.0000 0.1717
Pt1 Pt 0.0000 0.0000 0.5860
Pt2 Pt 0.0000 0.0000 0.7528
# formation energy from the elements: -102.4 kJ per mole of atoms


# MnCoIr2 PBE optimized geometry
data_MnCoIr2
_chemical_formula_sum 'Mn2 Co2 Ir4'
_cell_length_a 3.700
_cell_length_b 3.700
_cell_length_c 7.566
_cell_angle_alpha 90.00
_cell_angle_beta 90.00
_cell_angle_gamma 90.00
_space_group_name_H-M_alt 'I -4 m 2'
_space_group_IT_number 119
_space_group_name_Hall 'I -4 -2'
loop_
_atom_site_label
_atom_site_type_symbol
_atom_site_fract_x
_atom_site_fract_y
_atom_site_fract_z
Mn1 Mn 0.000 0.000 0.000
Co1 Co 0.000 0.500 0.750
Ir1 Ir 0.000 0.000 0.500
Ir2 Ir 0.000 0.500 0.250
# formation energy from the elements: -9.6 kJ per mole of atoms


# HoTa4Se8 PBE optimized geometry
data_HoTa4Se8
_chemical_formula_sum 'Ho3 Ta12 Se24'
_cell_length_a 7.0915
_cell_length_b 7.0915
_cell_length_c 20.6896
_cell_angle_alpha 90.00
_cell_angle_beta 90.00
_cell_angle_gamma 120.00
_space_group_name_H-M_alt 'R -3 m'
_space_group_IT_number 166
_space_group_name_Hall '-R 3 2"'
loop_
_atom_site_label
_atom_site_type_symbol
_atom_site_fract_x
_atom_site_fract_y
_atom_site_fract_z
Ho1 Ho 0.0000 0.0000 0.0000
Ta1 Ta 0.0000 0.0000 0.5000
Ta2 Ta 0.0000 0.5000 0.5000
Se1 Se 0.0000 0.0000 0.2458
Se2 Se 0.0107 0.5054 0.2470
# uncorrected formation energy: -867 meV per atom


# Ga2Ru2Au PBE optimized geometry
data_Ga2Ru2Au
_chemical_formula_sum 'Ga4 Ru4 Au2'
_cell_length_a 7.018
_cell_length_b 7.018
_cell_length_c 3.082
_cell_angle_alpha 90.00
_cell_angle_beta 90.00
_cell_angle_gamma 90.00
_space_group_name_H-M_alt 'P 4/m b m'
_space_group_IT_number 127
_space_group_name_Hall '-P 4 2ab'
loop_
_atom_site_label
_atom_site_type_symbol
_atom_site_fract_x
_atom_site_fract_y
_atom_site_fract_z
Ga1 Ga 0.139 0.361 0.000
Ru1 Ru 0.157 0.657 0.500
Au1 Au 0.000 0.000 0.000
# formation energy from the elements: -6.8 kJ per mole of atoms


# Nd2Ho3Bi2Sb2 PBE optimized geometry
data_Nd2Ho3Bi2Sb2
_chemical_formula_sum 'Nd4 Ho6 Bi4 Sb4'
_cell_length_a 6.067
_cell_length_b 6.067
_cell_length_c 15.376
_cell_angle_alpha 90.00
_cell_angle_beta 90.00
_cell_angle_gamma 90.00
_space_group_name_H-M_alt 'I 4/m m m'
_space_group_IT_number 139
_space_group_name_Hall '-I 4 2'
loop_
_atom_site_label
_atom_site_type_symbol
_atom_site_fract_x
_atom_site_fract_y
_atom_site_fract_z
Nd1 Nd 0.000 0.000 0.092
Ho1 Ho 0.000 0.000 0.500
Ho2 Ho 0.000 0.500 0.250
Bi1 Bi 0.000 0.000 0.298
Sb1 Sb 0.000 0.500 0.000
# uncorrected formation energy: -639 meV per atom


# Be2HgTe PBE optimized geometry
data_Be2HgTe
_chemical_formula_sum 'Be2 Hg1 Te1'
_cell_length_a 3.300
_cell_length_b 3.538
_cell_length_c 6.144
_cell_angle_alpha 90.00
_cell_angle_beta 90.00
_cell_angle_gamma 90.00
_space_group_name_H-M_alt 'P m m m'
_space_group_IT_number 47
_space_group_name_Hall '-P 2 2'
loop_
_atom_site_label
_atom_site_type_symbol
_atom_site_fract_x
_atom_site_fract_y
_atom_site_fract_z
Be1 Be 0.000 0.000 0.204
Hg1 Hg 0.500 0.500 0.000
Te1 Te 0.500 0.500 0.500
# uncorrected formation energy: 728 meV per atom


# PuPaMoOs PBE optimized geometry
data_PuPaMoOs
_chemical_formula_sum 'Pu4 Pa4 Mo4 Os4'
_cell_length_a 6.854
_cell_length_b 6.854
_cell_length_c 6.854
_cell_angle_alpha 90.00
_cell_angle_beta 90.00
_cell_angle_gamma 90.00
_space_group_name_H-M_alt 'F -4 3 m'
_space_group_IT_number 216
_space_group_name_Hall 'F -4 2 3'
loop_
_atom_site_label
_atom_site_type_symbol
_atom_site_fract_x
_atom_site_fract_y
_atom_site_fract_z
Pu1 Pu 0.000 0.000 0.000
Pa1 Pa 0.000 0.000 0.500
Mo1 Mo 0.250 0.250 0.750
Os1 Os 0.250 0.250 0.250
# formation energy from the elements: 5.9 kJ per mole of atoms